No. 1
Entry from the Alexandria database: an optimized crystal structure of CrNi3 (GGA-PBEsol).

Unit cell a=2.442 b=3.509 c=4.874 alpha=90.00 beta=89.99 gamma=90.00
Last column: magnetic moment on the atom in μB.
Fractional positions:
Ni 0.000 0.000 0.500  0.00
Ni 0.500 0.500 0.752  0.03
Ni 0.500 0.500 0.248  0.03
Cr 0.000 0.000 0.000  0.23

Volume   10.44 Å³/atom
Space-group type   Pmmm
Energy of formation from the pure elements   0.00 eV/atom

=====

No. 2
Entry from the Alexandria database: an optimized crystal structure of CaInOs3 (GGA-PBEsol).

Unit cell a=4.840 b=4.840 c=4.840 alpha=90.00 beta=90.00 gamma=90.00
Last column: magnetic moment on the atom in μB.
Fractional positions:
In 0.000 0.000 0.000  0.00
Ca 0.500 0.500 0.500  0.00
Os 0.500 0.000 0.000  0.75
Os 0.000 0.000 0.500  0.75
Os 0.000 0.500 0.000  0.75

Volume   22.68 Å³/atom
Space-group type   Pm-3m
Energy of formation from the pure elements   2.32 eV/atom

=====

No. 3
Entry from the Alexandria database: an optimized crystal structure of CaSiAu2 (GGA-PBEsol).

Unit cell a=2.954 b=5.173 c=5.685 alpha=116.34 beta=103.89 gamma=92.48
Fractional positions:
Au 0.000 0.000 0.500
Au 0.500 0.500 0.500
Ca 0.000 0.500 0.000
Si 0.500 0.000 0.000

Volume   18.61 Å³/atom
ΔE_f (raw)   -13 kJ/mol of atoms
Space-group type   C2/m

=====

No. 4
Entry from the Alexandria database: an optimized crystal structure of La2AuF2 (GGA-PBEsol).

Unit cell a=3.796 b=3.796 c=7.465 alpha=104.73 beta=104.73 gamma=90.00
Fractional positions:
F 0.250 0.750 0.500
F 0.750 0.250 0.500
La 0.631 0.631 0.263
La 0.369 0.369 0.737
Au 0.000 0.000 0.000

Volume   20.08 Å³/atom
ΔE_f (raw)   -237 kJ/mol of atoms
Space-group type   I4/mmm

=====

No. 5
Entry from the Alexandria database: an optimized crystal structure of Hf6Al16Co7 (GGA-PBEsol).

Unit cell a=8.394 b=8.394 c=8.394 alpha=60.00 beta=60.00 gamma=60.00
Fractional positions:
Al 0.007 0.664 0.664
Al 0.118 0.645 0.118
Al 0.882 0.882 0.355
Al 0.993 0.336 0.336
Al 0.336 0.993 0.336
Al 0.355 0.882 0.882
Al 0.118 0.118 0.645
Al 0.664 0.664 0.007
Al 0.336 0.336 0.336
Al 0.336 0.336 0.993
Al 0.664 0.664 0.664
Al 0.645 0.118 0.118
Al 0.882 0.882 0.882
Al 0.882 0.355 0.882
Al 0.664 0.007 0.664
Al 0.118 0.118 0.118
Co 0.500 0.500 0.000
Co 0.500 0.000 0.000
Co 0.000 0.000 0.000
Co 0.000 0.500 0.000
Co 0.000 0.500 0.500
Co 0.000 0.000 0.500
Co 0.500 0.000 0.500
Hf 0.691 0.309 0.309
Hf 0.309 0.309 0.691
Hf 0.691 0.309 0.691
Hf 0.309 0.691 0.309
Hf 0.691 0.691 0.309
Hf 0.309 0.691 0.691

Volume   14.42 Å³/atom
Space-group type   Fm-3m
Energy of formation from the pure elements   -0.56 eV/atom

=====

No. 6
Entry from the Alexandria database: an optimized crystal structure of La2Os (GGA-PBEsol).

Unit cell a=4.261 b=6.232 c=7.239 alpha=103.18 beta=107.12 gamma=90.00
Fractional positions:
Os 0.232 0.816 0.464
Os 0.768 0.184 0.536
La 0.604 0.817 0.209
La 0.154 0.322 0.309
La 0.396 0.183 0.791
La 0.846 0.678 0.691

Volume   29.74 Å³/atom
Space-group type   C2/m
Energy of formation from the pure elements   -0.07 eV/atom

=====

Q: volume of number 2 (CaInOs3)?
A: 22.68 Å³/atom